(1)
An optimized crystal structure of Li6Sn2AuN, computed with PBE-GGA.

- total magnetic moment (μB/f.u.) = 0.00
- energy relative to the elements, uncorrected (eV/atom) = -0.327
- space-group type = P-1

Geometry as POSCAR:
```
Li6Sn2AuN
1.0
-0.2686 -7.1546 -0.2737
5.6617 -0.8664 -0.6777
3.6749 -5.0122 3.7082
Sn Li N Au
2 6 1 1
Cartesian
3.6330 -7.7128 1.1408
5.4349 -5.3204 1.6160
7.3856 -10.5839 2.6329
6.5411 -8.2440 1.4766
2.5268 -4.7892 1.2803
4.3216 -3.0964 -0.0370
4.7463 -9.9368 2.7938
1.6822 -2.4493 0.1239
2.6965 -4.0105 -0.4757
0.0000 0.0000 0.0000
```

***

(2)
An optimized crystal structure of ThTl2Cd, computed with PBE-GGA.

- total magnetic moment (μB/f.u.) = 0.00
- space-group type = Fm-3m
- relative energy among the computed polymorphs (meV/atom) = 153

Geometry as POSCAR:
```
ThTl2Cd
1.0
-0.4812 1.7733 -5.0391
-4.6714 2.0148 -1.6995
-0.4626 5.2567 -0.9605
Th Cd Tl
1 1 2
Cartesian
-2.8076 4.5224 -3.8496
0.0000 0.0000 0.0000
-1.4038 2.2612 -1.9248
-4.2114 6.7836 -5.7744
```

***

(3)
An optimized crystal structure of NaPaTcN4, computed with PBE-GGA.

- total magnetic moment (μB/f.u.) = 0.00
- energy relative to the elements, uncorrected (eV/atom) = -0.538
- space-group type = P2_1/m

Geometry as POSCAR:
```
NaPaTcN4
1.0
-3.3865 -4.8353 -1.7422
4.3275 -1.8588 -3.2532
2.6233 -3.6507 5.5755
N Tc Pa Na
8 2 2 2
Cartesian
-1.2516 -6.7912 2.1209
1.6673 -5.5697 2.8823
0.8310 -7.6857 0.5553
2.7333 -2.6591 0.0248
3.2021 -5.6629 -0.0588
1.8969 -4.7750 -2.3023
0.3622 -4.6819 0.6389
4.8159 -3.5536 -1.5408
0.4829 -6.1458 1.6359
3.0813 -4.1990 -1.0558
1.9659 -3.4020 2.0409
1.5983 -6.9428 -1.4609
0.2058 -2.6239 -0.7450
3.3585 -7.7209 1.3251
```

***

(4)
An optimized crystal structure of Pm3Dy4Sn4, computed with PBE-GGA.

- total magnetic moment (μB/f.u.) = 2.87
- DFT total energy (Ha/atom) = -0.1826
- space-group type = Immm

Geometry as POSCAR:
```
Pm3Dy4Sn4
1.0
-3.9397 0.0561 1.5920
-1.3840 -8.6754 -3.1189
5.6037 1.1835 8.1536
Sn Pm Dy
4 3 4
Cartesian
-0.4993 -1.5346 4.4902
-2.2652 -1.8232 0.1305
0.7793 -5.9011 2.1366
-3.0585 -6.7960 -1.6573
-0.3469 -6.7695 5.0517
-0.6920 -4.3377 -1.5594
0.6270 -0.6662 1.5750
1.6670 -3.7403 4.2569
2.2041 -0.3733 5.4674
-1.9240 -7.0625 1.1594
-1.3869 -3.6955 2.3698
```

***

(5)
An optimized crystal structure of La2MoBr, computed with PBE-GGA.

- total magnetic moment (μB/f.u.) = 0.53
- energy relative to the elements, uncorrected (eV/atom) = -0.371
- space-group type = C2/m
- relative energy among the computed polymorphs (meV/atom) = 0

Geometry as POSCAR:
```
La2MoBr
1.0
3.6745 0.0243 -0.0095
0.9038 3.5617 -0.0095
3.4836 2.7286 8.5612
Mo La Br
1 2 1
Cartesian
6.0464 4.7360 6.4066
3.7761 2.9577 8.2200
3.7384 2.9282 4.6123
2.0155 1.5787 2.1355
```

***

(6)
An optimized crystal structure of YNpAl, computed with PBE-GGA.

- total magnetic moment (μB/f.u.) = 1.76
- DFT total energy (Ha/atom) = -0.2869
- space-group type = C2/m

Geometry as POSCAR:
```
YNpAl
1.0
3.5529 0.0000 0.0000
0.0000 5.0764 0.0279
-1.7765 -0.9532 7.8463
Np Al Y
2 2 2
Cartesian
1.7765 0.3361 4.0546
0.0000 3.7871 3.8196
0.0000 0.2312 6.5112
1.7765 3.8920 1.3631
1.7765 2.8005 6.5814
0.0000 1.3227 1.2928
```

***

(7)
An optimized crystal structure of RbSrSn, computed with PBE-GGA.

- total magnetic moment (μB/f.u.) = 0.00
- DFT total energy (Ha/atom) = -0.0890
- space-group type = P-1

Geometry as POSCAR:
```
RbSrSn
1.0
5.2073 -0.3345 -0.0755
2.3135 3.9675 0.0076
-0.4742 0.1145 15.9079
Sr Sn Rb
2 2 2
Cartesian
5.6849 1.8940 13.6573
1.3617 1.8535 2.1826
3.9029 0.4070 0.4158
3.1437 3.3405 15.4241
3.8045 0.4340 5.8506
3.2421 3.3135 9.9893
```

***

(8)
An optimized crystal structure of Ti2PbAu, computed with PBE-GGA.

- total magnetic moment (μB/f.u.) = 0.00
- DFT total energy (Ha/atom) = -0.2114
- space-group type = P4/mmm

Geometry as POSCAR:
```
Ti2PbAu
1.0
3.5424 0.0000 0.0000
0.0000 3.5424 0.0000
0.0000 0.0000 6.1103
Ti Au Pb
2 1 1
Cartesian
0.0000 0.0000 1.3977
0.0000 0.0000 4.7126
1.7712 1.7712 0.0000
1.7712 1.7712 3.0551
```

***

(9)
An optimized crystal structure of Na2ReAsW, computed with PBE-GGA.

- total magnetic moment (μB/f.u.) = 6.30
- DFT total energy (Ha/atom) = -0.1672
- space-group type = P4/mmm

Geometry as POSCAR:
```
Na2ReAsW
1.0
5.5462 0.0000 0.0000
0.0000 4.6814 0.0000
0.0000 0.0000 5.5462
W As Re Na
1 1 1 2
Cartesian
2.7731 2.3407 2.7731
0.0000 2.3407 0.0000
0.0000 0.0000 0.0000
0.0000 0.0000 2.7731
2.7731 0.0000 0.0000
```

***

(10)
An optimized crystal structure of TlC2, computed with PBE-GGA.

- total magnetic moment (μB/f.u.) = 0.00
- space-group type = Cmcm
- relative energy among the computed polymorphs (meV/atom) = 0

Geometry as POSCAR:
```
TlC2
1.0
-12.8039 0.2506 1.8328
12.3039 -2.5163 -3.1055
0.3780 -1.6971 2.8728
Tl C
2 4
Cartesian
-7.9622 -0.6968 1.6173
7.8402 -3.2660 -0.0172
-1.4621 -1.4131 0.3388
-11.2095 -1.1666 3.7296
11.0876 -2.7961 -2.1295
1.3401 -2.5496 1.2613
```

***

(11)
An optimized crystal structure of Nb5GaTc6, computed with PBE-GGA.

- total magnetic moment (μB/f.u.) = 0.00
- DFT total energy (Ha/atom) = -0.3653
- space-group type = Immm

Geometry as POSCAR:
```
Nb5GaTc6
1.0
0.8914 4.2586 -1.0808
2.3936 -1.9190 -5.5874
-7.7355 -0.6059 0.5302
Nb Tc Ga
5 6 1
Cartesian
-4.0444 0.3743 -1.8611
1.1968 -0.9595 -2.7937
-2.9470 -0.5760 -4.7005
-1.5035 2.3097 -1.4374
-0.4061 1.3594 -4.2768
-0.2541 -1.2470 -5.1230
1.0547 1.6411 -1.9620
-3.0072 2.0271 -3.7910
-4.1964 2.9806 -1.0149
2.2303 0.6985 -4.7062
-1.4433 -0.2935 -2.3469
0.0000 0.0000 0.0000
```

***

(12)
An optimized crystal structure of ZnTe4Cl, computed with PBE-GGA.

- total magnetic moment (μB/f.u.) = 0.00
- energy relative to the elements, uncorrected (eV/atom) = 0.284
- space-group type = F-43m

Geometry as POSCAR:
```
ZnTe4Cl
1.0
0.0000 4.4611 4.4611
4.4611 0.0000 4.4611
4.4611 4.4611 0.0000
Te Zn Cl
4 1 1
Cartesian
3.3545 3.3545 3.3545
5.5678 5.5678 3.3545
3.3545 5.5678 5.5678
5.5678 3.3545 5.5678
6.6917 6.6917 6.6917
0.0000 0.0000 0.0000
```